! NbIrOs, optimized geometry, DFT GGA-PBE; values from VASP
&SYSTEM
  ibrav = 0, nat = 12, ntyp = 3
/
ATOMIC_SPECIES
Nb 92.91 Nb.upf
Ir 192.22 Ir.upf
Os 190.23 Os.upf
CELL_PARAMETERS angstrom
6.058 0.000 0.000
0.000 6.058 0.000
0.000 0.000 6.058
ATOMIC_POSITIONS angstrom
Nb 0.000 0.000 0.000
Nb 0.000 3.029 3.029
Nb 3.029 0.000 3.029
Nb 3.029 3.029 0.000
Ir 0.000 0.000 3.029
Ir 0.000 3.029 0.000
Ir 3.029 0.000 0.000
Ir 3.029 3.029 3.029
Os 1.515 1.515 4.544
Os 1.515 4.544 1.515
Os 4.544 1.515 1.515
Os 4.544 4.544 4.544
! Mass density = 14.20 g/cm³
! Raw total energy = -116.222 eV per cell
! ΔE_f = 108 kJ/mol of formula units
! Offset from the most stable computed form = 0.004 eV per atom